Entry 1:
The following is a PBE-GGA calculation of a relaxed structure of Cs3TbTe3, from Alexandria via LeMat-Bulk.

Values from the calculation:
Uncorrected formation energy in eV per atom: -1.2206
Final energy in eV/f.u.: -25.16

CIF file:
```
data_Cs3TbTe3
_chemical_formula_sum 'Cs12 Tb4 Te12'
_cell_length_a 10.493
_cell_length_b 16.053
_cell_length_c 9.364
_cell_angle_alpha 90.00
_cell_angle_beta 101.50
_cell_angle_gamma 90.00
_space_group_name_H-M_alt 'C 1 2/m 1'
_space_group_IT_number 12
loop_
_space_group_symop_operation_xyz
'x,y,z'
'-x,-y,-z'
'-x,y,-z'
'x,-y,z'
'x+1/2,y+1/2,z'
'-x+1/2,-y+1/2,-z'
'-x+1/2,y+1/2,-z'
'x+1/2,-y+1/2,z'
loop_
_atom_site_label
_atom_site_type_symbol
_atom_site_fract_x
_atom_site_fract_y
_atom_site_fract_z
Cs1 Cs 0.000 0.178 0.000
Cs2 Cs 0.000 0.248 0.500
Cs3 Cs 0.114 0.500 0.863
Tb1 Tb 0.174 0.000 0.643
Te1 Te 0.101 0.000 0.316
Te2 Te 0.194 0.352 0.223
```

---

Entry 2:
The following is a PBE-GGA calculation of a relaxed structure of Cs2TbTe6, from Alexandria via LeMat-Bulk.

Values from the calculation:
Uncorrected formation energy in eV per atom: -0.7133
Final energy in eV/f.u.: -31.61

CIF file:
```
data_Cs2TbTe6
_chemical_formula_sum 'Cs4 Tb2 Te12'
_cell_length_a 16.938
_cell_length_b 9.509
_cell_length_c 5.140
_cell_angle_alpha 90.00
_cell_angle_beta 102.32
_cell_angle_gamma 90.00
_space_group_name_H-M_alt 'C 1 2/m 1'
_space_group_IT_number 12
loop_
_space_group_symop_operation_xyz
'x,y,z'
'-x,-y,-z'
'-x,y,-z'
'x,-y,z'
'x+1/2,y+1/2,z'
'-x+1/2,-y+1/2,-z'
'-x+1/2,y+1/2,-z'
'x+1/2,-y+1/2,z'
loop_
_atom_site_label
_atom_site_type_symbol
_atom_site_fract_x
_atom_site_fract_y
_atom_site_fract_z
Cs1 Cs 0.175 0.000 0.435
Tb1 Tb 0.000 0.500 0.000
Te1 Te 0.000 0.301 0.500
Te2 Te 0.156 0.333 0.905
```

---

Entry 3:
The following is a PBE-GGA calculation of a relaxed structure of Cs4TbTh3Te8, from Alexandria via LeMat-Bulk.

Values from the calculation:
Uncorrected formation energy in eV per atom: -1.2214
Final energy in eV/f.u.: -74.98

CIF file:
```
data_Cs4TbTh3Te8
_chemical_formula_sum 'Cs12 Tb3 Th9 Te24'
_cell_length_a 9.0715
_cell_length_b 9.0715
_cell_length_c 27.3258
_cell_angle_alpha 90.00
_cell_angle_beta 90.00
_cell_angle_gamma 120.00
_space_group_name_H-M_alt 'R -3 m'
_space_group_IT_number 166
_space_group_name_Hall '-R 3 2"'
loop_
_atom_site_label
_atom_site_type_symbol
_atom_site_fract_x
_atom_site_fract_y
_atom_site_fract_z
Cs1 Cs 0.0000 0.0000 0.0000
Cs2 Cs 0.0000 0.5000 0.0000
Tb1 Tb 0.0000 0.0000 0.5000
Th1 Th 0.0000 0.5000 0.5000
Te1 Te 0.0000 0.0000 0.2338
Te2 Te 0.0042 0.5021 0.2324
```

---

Entry 4:
The following is a PBE-GGA calculation of a relaxed structure of Cs2TbTh2Te6, from Alexandria via LeMat-Bulk.

Values from the calculation:
Uncorrected formation energy in eV per atom: -1.2826
Final energy in eV/f.u.: -54.14

CIF file:
```
data_Cs2TbTh2Te6
_chemical_formula_sum 'Cs4 Tb2 Th4 Te12'
_cell_length_a 7.775
_cell_length_b 13.444
_cell_length_c 9.634
_cell_angle_alpha 90.00
_cell_angle_beta 105.71
_cell_angle_gamma 90.00
_space_group_name_H-M_alt 'C 1 2/m 1'
_space_group_IT_number 12
loop_
_space_group_symop_operation_xyz
'x,y,z'
'-x,-y,-z'
'-x,y,-z'
'x,-y,z'
'x+1/2,y+1/2,z'
'-x+1/2,-y+1/2,-z'
'-x+1/2,y+1/2,-z'
'x+1/2,-y+1/2,z'
loop_
_atom_site_label
_atom_site_type_symbol
_atom_site_fract_x
_atom_site_fract_y
_atom_site_fract_z
Cs1 Cs 0.000 0.167 0.000
Tb1 Tb 0.000 0.000 0.500
Th1 Th 0.000 0.333 0.500
Te1 Te 0.232 0.164 0.695
Te2 Te 0.233 0.500 0.694
```

---

Entry 5:
The following is a PBE-GGA calculation of a relaxed structure of Cs4Tb3TiTe8, from Alexandria via LeMat-Bulk.

Values from the calculation:
Uncorrected formation energy in eV per atom: -1.2206
Final energy in eV/f.u.: -69.86

CIF file:
```
data_Cs4Tb3TiTe8
_chemical_formula_sum 'Cs12 Tb9 Ti3 Te24'
_cell_length_a 8.9828
_cell_length_b 8.9828
_cell_length_c 26.6776
_cell_angle_alpha 90.00
_cell_angle_beta 90.00
_cell_angle_gamma 120.00
_space_group_name_H-M_alt 'R -3 m'
_space_group_IT_number 166
_space_group_name_Hall '-R 3 2"'
loop_
_atom_site_label
_atom_site_type_symbol
_atom_site_fract_x
_atom_site_fract_y
_atom_site_fract_z
Cs1 Cs 0.0000 0.0000 0.0000
Cs2 Cs 0.0000 0.5000 0.0000
Tb1 Tb 0.0000 0.5000 0.5000
Ti1 Ti 0.0000 0.0000 0.5000
Te1 Te 0.0000 0.0000 0.2309
Te2 Te 0.0181 0.5091 0.2279
```

---

Entry 6:
The following is a PBE-GGA calculation of a relaxed structure of Cs3Tb3TmTe8, from Alexandria via LeMat-Bulk.

Values from the calculation:
Uncorrected formation energy in eV per atom: -1.3235
Final energy in eV/f.u.: -65.91

CIF file:
```
data_Cs3Tb3TmTe8
_chemical_formula_sum 'Cs9 Tb9 Tm3 Te24'
_cell_length_a 8.8589
_cell_length_b 8.8589
_cell_length_c 27.7009
_cell_angle_alpha 90.00
_cell_angle_beta 90.00
_cell_angle_gamma 120.00
_space_group_name_H-M_alt 'R -3 m'
_space_group_IT_number 166
_space_group_name_Hall '-R 3 2"'
loop_
_atom_site_label
_atom_site_type_symbol
_atom_site_fract_x
_atom_site_fract_y
_atom_site_fract_z
Cs1 Cs 0.0000 0.5000 0.0000
Tb1 Tb 0.0000 0.5000 0.5000
Tm1 Tm 0.0000 0.0000 0.5000
Te1 Te 0.0000 0.0000 0.2306
Te2 Te 0.0019 0.5009 0.2298
```

---

Entry 7:
The following is a PBE-GGA calculation of a relaxed structure of CsTbTmTe3, from Alexandria via LeMat-Bulk.

Values from the calculation:
Uncorrected formation energy in eV per atom: -1.2306
Final energy in eV/f.u.: -26.76

CIF file:
```
data_CsTbTmTe3
_chemical_formula_sum 'Cs2 Tb2 Tm2 Te6'
_cell_length_a 9.687
_cell_length_b 4.935
_cell_length_c 11.275
_cell_angle_alpha 90.00
_cell_angle_beta 113.78
_cell_angle_gamma 90.00
_space_group_name_H-M_alt 'P 1 21/m 1'
_space_group_IT_number 11
loop_
_space_group_symop_operation_xyz
'x,y,z'
'-x,-y,-z'
'-x,y+1/2,-z'
'x,-y+1/2,z'
loop_
_atom_site_label
_atom_site_type_symbol
_atom_site_fract_x
_atom_site_fract_y
_atom_site_fract_z
Cs1 Cs 0.012 0.250 0.248
Tb1 Tb 0.454 0.250 0.118
Tm1 Tm 0.497 0.250 0.632
Te1 Te 0.238 0.750 0.122
Te2 Te 0.324 0.750 0.537
Te3 Te 0.329 0.250 0.823
```

---

Entry 8:
The following is a PBE-GGA calculation of a relaxed structure of Cs4Tb3TmTe8, from Alexandria via LeMat-Bulk.

Values from the calculation:
Uncorrected formation energy in eV per atom: -1.3841
Final energy in eV/f.u.: -69.05

CIF file:
```
data_Cs4Tb3TmTe8
_chemical_formula_sum 'Cs12 Tb9 Tm3 Te24'
_cell_length_a 9.1101
_cell_length_b 9.1101
_cell_length_c 26.7584
_cell_angle_alpha 90.00
_cell_angle_beta 90.00
_cell_angle_gamma 120.00
_space_group_name_H-M_alt 'R -3 m'
_space_group_IT_number 166
_space_group_name_Hall '-R 3 2"'
loop_
_atom_site_label
_atom_site_type_symbol
_atom_site_fract_x
_atom_site_fract_y
_atom_site_fract_z
Cs1 Cs 0.0000 0.0000 0.0000
Cs2 Cs 0.0000 0.5000 0.0000
Tb1 Tb 0.0000 0.5000 0.5000
Tm1 Tm 0.0000 0.0000 0.5000
Te1 Te 0.0000 0.0000 0.2303
Te2 Te 0.0035 0.5017 0.2297
```

---

Which of these has the lowest final energy? Cs4TbTh3Te8

---

Among the records above, which one has the highest final energy? Cs3TbTe3

---

What did the fourth record say?
The following is a PBE-GGA calculation of a relaxed structure of Cs2TbTh2Te6, from Alexandria via LeMat-Bulk.

Values from the calculation:
Uncorrected formation energy in eV per atom: -1.2826
Final energy in eV/f.u.: -54.14

CIF file:
```
data_Cs2TbTh2Te6
_chemical_formula_sum 'Cs4 Tb2 Th4 Te12'
_cell_length_a 7.775
_cell_length_b 13.444
_cell_length_c 9.634
_cell_angle_alpha 90.00
_cell_angle_beta 105.71
_cell_angle_gamma 90.00
_space_group_name_H-M_alt 'C 1 2/m 1'
_space_group_IT_number 12
loop_
_space_group_symop_operation_xyz
'x,y,z'
'-x,-y,-z'
'-x,y,-z'
'x,-y,z'
'x+1/2,y+1/2,z'
'-x+1/2,-y+1/2,-z'
'-x+1/2,y+1/2,-z'
'x+1/2,-y+1/2,z'
loop_
_atom_site_label
_atom_site_type_symbol
_atom_site_fract_x
_atom_site_fract_y
_atom_site_fract_z
Cs1 Cs 0.000 0.167 0.000
Tb1 Tb 0.000 0.000 0.500
Th1 Th 0.000 0.333 0.500
Te1 Te 0.232 0.164 0.695
Te2 Te 0.233 0.500 0.694
```

---

The highest final energy belongs to which entry? Cs3TbTe3